Record 1
A plane-wave DFT calculation with PBE was carried out for a geometry-optimized LiBeSi2 structure.

Cell lengths 4.164, 4.164, 4.164 Å; angles 60.00, 60.00, 60.00 degrees
Positions (direct):
Be1 0.500 0.500 0.500
Li1 0.250 0.250 0.250
Si1 0.000 0.000 0.000
Si2 0.750 0.750 0.750

ΔE_f (raw)   140 kJ/mol of formula units

***

Record 2
A plane-wave DFT calculation with PBE was carried out for a geometry-optimized TbMg5Rh6 structure.

Cell lengths 4.478, 6.404, 7.062 Å; angles 90.00, 108.41, 90.00 degrees
Positions (direct):
Rh1 0.831 0.744 0.660
Rh2 0.831 0.256 0.660
Rh3 0.500 0.261 0.000
Rh4 0.500 0.739 0.000
Rh5 0.169 0.744 0.340
Rh6 0.169 0.256 0.340
Mg1 0.666 0.500 0.333
Mg2 0.330 0.000 0.659
Mg3 0.000 0.500 0.000
Mg4 0.670 0.000 0.341
Mg5 0.334 0.500 0.667
Tb1 0.000 0.000 0.000

DFT total energy   -5.283 eV per atom

***

Record 3
A plane-wave DFT calculation with PBE was carried out for a geometry-optimized Sc6SbSe4 structure.

Cell lengths 3.870, 6.591, 19.453 Å; angles 90.00, 90.00, 107.07 degrees
Positions (direct):
Sc1 0.500 0.000 0.000
Sc2 0.500 0.000 0.500
Sc3 0.048 0.096 0.336
Sc4 0.952 0.904 0.664
Sc5 0.952 0.904 0.836
Sc6 0.048 0.096 0.164
Sc7 0.764 0.529 0.398
Sc8 0.236 0.471 0.602
Sc9 0.236 0.471 0.898
Sc10 0.764 0.529 0.102
Sc11 0.341 0.682 0.250
Sc12 0.659 0.318 0.750
Sb1 0.669 0.337 0.250
Sb2 0.331 0.663 0.750
Se1 0.857 0.713 0.538
Se2 0.412 0.824 0.124
Se3 0.143 0.287 0.462
Se4 0.588 0.176 0.876
Se5 0.857 0.713 0.962
Se6 0.143 0.287 0.038
Se7 0.588 0.176 0.624
Se8 0.412 0.824 0.376

ΔE_f (raw)   -1441 kJ/mol of formula units

***

Record 4
A plane-wave DFT calculation with PBE was carried out for a geometry-optimized VAsI2 structure.

Cell lengths 5.149, 5.149, 5.149 Å; angles 60.00, 60.00, 60.00 degrees
Each line ends with the local moment (μB).
Positions (direct):
I1 0.250 0.250 0.250  -0.10
I2 0.750 0.750 0.750  -0.10
As1 0.500 0.500 0.500  -0.22
V1 0.000 0.000 0.000  2.43

Offset from the most stable computed form   0.680 eV/atom
ΔE_f (raw)   267 kJ/mol of formula units

***

Record 5
A plane-wave DFT calculation with PBE was carried out for a geometry-optimized BaMnPCl2 structure.

Cell lengths 5.008, 5.008, 4.445 Å; angles 90.00, 90.00, 90.00 degrees
Positions (direct):
P1 0.000 0.000 0.500
Mn1 0.000 0.000 0.000
Ba1 0.500 0.500 0.500
Cl1 0.000 0.500 0.000
Cl2 0.500 0.000 0.000

Offset from the most stable computed form   0.000 eV/atom
ΔE_f (raw)   -412 kJ/mol of formula units

***

Record 6
A plane-wave DFT calculation with PBE was carried out for a geometry-optimized BaNd2RuO8 structure.

Cell lengths 5.387, 4.333, 7.269 Å; angles 72.41, 90.01, 90.25 degrees
Each line ends with the local moment (μB).
Positions (direct):
Ba1 0.000 0.000 0.500  0.01
Nd1 0.490 0.366 0.801  0.01
Nd2 0.510 0.634 0.199  0.01
Ru1 0.000 0.000 0.000  1.25
O1 0.980 0.645 0.243  0.10
O2 0.754 0.809 0.879  0.10
O3 0.714 0.183 0.103  0.05
O4 0.020 0.355 0.757  0.10
O5 0.246 0.191 0.121  0.10
O6 0.286 0.817 0.897  0.05
O7 0.498 0.828 0.499  0.01
O8 0.502 0.172 0.501  0.01

ΔE_f (raw)   -2452 kJ/mol of formula units

***

What are the ρ values for these records? In order: 2.3 7.8 5.0 6.5 4.4 6.7 g cm⁻³.